[1]
K2CaVF6 | PBE+U | optimized geometry

Fermi-level density of states   0.00 states/eV per atom
Energy   -54.01 eV/cell

```
K2CaVF6
1.0
-3.066 3.076 4.341
3.066 -3.076 4.341
3.066 3.076 -4.341
K Ca V F
2 1 1 6
Direct
0.249 0.249 0.000
0.751 0.751 0.000
0.500 0.000 0.500
0.000 0.500 0.500
0.243 0.256 0.499
0.243 0.743 0.500
0.243 0.744 0.986
0.757 0.256 0.014
0.757 0.257 0.500
0.757 0.744 0.501
```

=====

[2]
KCaVF6 | PBE+U | optimized geometry

Fermi-level density of states   0.00 states/eV per atom
Energy   -101.71 eV/cell

```
KCaVF6
1.0
-3.727 3.740 5.133
3.727 -3.740 5.133
3.727 3.740 -5.133
K Ca V F
2 2 2 12
Direct
0.396 0.146 0.250
0.604 0.854 0.750
0.000 0.000 0.500
0.000 0.500 0.000
0.000 0.500 0.500
0.500 0.500 0.000
0.117 0.867 0.250
0.164 0.446 0.348
0.164 0.816 0.718
0.174 0.424 0.750
0.402 0.184 0.848
0.402 0.554 0.218
0.598 0.446 0.782
0.598 0.816 0.152
0.826 0.576 0.250
0.836 0.184 0.282
0.836 0.554 0.652
0.883 0.133 0.750
```

=====

[3]
K3Ca2VF9 | PBE+U | optimized geometry

Fermi-level density of states   0.00 states/eV per atom
Energy   -79.96 eV/cell

```
K3Ca2VF9
1.0
6.199 0.000 0.000
-3.100 5.369 0.000
0.000 0.000 7.608
K Ca V F
3 2 1 9
Direct
0.000 0.000 0.000
0.333 0.667 0.661
0.667 0.333 0.339
0.333 0.667 0.174
0.667 0.333 0.826
0.000 0.000 0.500
0.000 0.500 0.000
0.162 0.324 0.341
0.162 0.838 0.341
0.324 0.162 0.659
0.500 0.000 0.000
0.500 0.500 0.000
0.676 0.838 0.341
0.838 0.162 0.659
0.838 0.676 0.659
```

=====

[4]
KCaWF6 | PBE+U | optimized geometry

Fermi-level density of states   0.00 states/eV per atom
Energy   -98.92 eV/cell

```
KCaWF6
1.0
6.003 0.000 0.000
-3.002 5.199 0.000
0.000 0.000 10.685
K Ca W F
2 2 2 12
Direct
0.000 0.000 0.000
0.000 0.000 0.500
0.333 0.667 0.250
0.667 0.333 0.750
0.333 0.667 0.750
0.667 0.333 0.250
0.020 0.374 0.647
0.020 0.646 0.853
0.354 0.374 0.853
0.354 0.980 0.647
0.374 0.020 0.147
0.374 0.354 0.353
0.626 0.646 0.647
0.626 0.980 0.853
0.646 0.020 0.353
0.646 0.626 0.147
0.980 0.354 0.147
0.980 0.626 0.353
```

=====

Number 1: V 16.38 Å³/atom. Number 2: V 15.90 Å³/atom. Number 3: V 16.88 Å³/atom. Number 4: V 18.53 Å³/atom.